DFT (GGA-PBE) results for TiBeSi3 after structural relaxation.

Geometry as POSCAR:
```
TiBeSi3
1.0
-1.9427 -3.1252 -2.1205
2.1943 -2.8748 2.2267
-3.0739 -0.0770 2.9297
Be Si Ti
1 3 1
direct
0.0000 0.0000 0.0000 Be
0.0000 0.5000 0.0000 Si
0.0000 0.0000 0.5000 Si
0.5000 0.0000 0.0000 Si
0.5000 0.5000 0.5000 Ti
```

## Properties
- DFT total energy: -4.919 eV/atom
- ΔE to the lowest computed polymorph: 0.0 kJ/mol of formula units
- Total magnetic moment: 0.00 μB per formula unit
- ΔE_f (raw): 3.3 eV/f.u.